1.
ScSi2Te: relaxed, GGA-PBE.

Lattice parameters (Å, degrees): 5.7291 5.7291 5.7291 138.80 138.80 59.68
Last column: nearest neighbours and their distance in Å.
Element x y z (fractional)
Si: 0.0000 0.0000 0.0000  4 Te 2.85
Si: 0.2500 0.7500 0.5000  4 Sc 2.85
Sc: 0.7500 0.2500 0.5000  4 Si 2.85
Te: 0.5000 0.5000 0.0000  4 Si 2.85

Properties
Calculated volume: 80.8 Å³/cell
Calculated density: 4.703 g/cm³
Crystal system: tetragonal
Uncorrected formation energy: -0.004 eV/atom
Calculated total energy: -5.08 eV per atom

2.
ScSi2Te: relaxed, GGA-PBE.

Lattice parameters (Å, degrees): 5.3510 5.3510 4.7486 93.44 93.44 41.53
Last column: nearest neighbours and their distance in Å.
Element x y z (fractional)
Si: 0.5205 0.5205 0.3942  2 Si 2.36
Si: 0.9795 0.9795 0.1058  2 Si 2.36
Te: 0.7500 0.7500 0.7500  2 Si 2.76, 4 Sc 3.04
Sc: 0.2500 0.2500 0.2500  2 Si 2.75, 4 Te 3.04

Properties
Calculated volume: 90.0 Å³/cell
Calculated density: 4.222 g/cm³
Crystal system: monoclinic
Uncorrected formation energy: -0.183 eV/atom
Calculated total energy: -5.26 eV per atom

3.
Sc2SiTe: relaxed, GGA-PBE.

Lattice parameters (Å, degrees): 3.6923 3.6944 6.1556 90.00 90.00 90.00
Last column: nearest neighbours and their distance in Å.
Element x y z (fractional)
Si: 0.5000 0.5000 0.2500  8 Sc 2.97, 2 Te 3.08
Sc: 0.0000 0.0000 0.4790  1 Sc 2.82, 4 Si 2.97, 4 Te 3.10
Sc: 0.0000 0.0000 0.0210  1 Sc 2.82, 4 Si 2.97, 4 Te 3.10
Te: 0.5000 0.5000 0.7500  2 Si 3.08, 8 Sc 3.10

Properties
Calculated volume: 84.0 Å³/cell
Calculated density: 4.857 g/cm³
Crystal system: tetragonal
Uncorrected formation energy: -0.586 eV/atom
Calculated total energy: -5.89 eV per atom

4.
ScSiTe2: relaxed, GGA-PBE.

Lattice parameters (Å, degrees): 5.7225 5.7225 5.7225 139.06 127.96 68.25
Last column: nearest neighbours and their distance in Å.
Element x y z (fractional)
Sc: 0.2500 0.7500 0.5000  8 Te 3.13-3.49, 4 Si 3.21
Si: 0.7500 0.2500 0.5000  4 Te 2.74
Te: 0.5519 0.5519 0.0000  2 Si 2.74
Te: 0.9481 0.9481 0.0000  2 Si 2.74

Properties
Calculated volume: 95.2 Å³/cell
Calculated density: 5.726 g/cm³
Crystal system: orthorhombic
Uncorrected formation energy: -0.260 eV/atom
Calculated total energy: -4.77 eV per atom